Record 1
Below is an optimized crystal structure of Y2Ge3Pt2, with properties calculated at the PBE level.

```
14
Lattice="-1.178 1.054 -3.921 -6.114 -3.420 0.917 -3.222 7.144 5.167" Properties=species:S:1:pos:R:3 pbc="T T T"
Pt -5.409 1.627 -0.217
Pt -2.622 4.540 2.008
Pt -7.891 0.239 0.155
Pt -5.104 3.151 2.380
Ge -6.293 0.872 2.124
Ge -3.721 0.004 -1.161
Ge -6.792 4.775 3.323
Ge -4.221 3.907 0.039
Ge -9.044 3.515 3.661
Ge -1.469 1.264 -1.498
Y -7.807 3.262 0.942
Y -5.513 6.508 1.126
Y -5.000 -1.729 1.037
Y -2.707 1.517 1.221
```

## Properties
Its crystal system is orthorhombic. The value obtained for the density is 9.6 g/cm³. The calculated formation energy is -0.90 eV per atom.

=====

Record 2
Below is an optimized crystal structure of YGe6Pt12, with properties calculated at the PBE level.

```
19
Lattice="-6.797 -0.595 2.652 3.984 -5.105 3.414 2.541 6.465 2.310" Properties=species:S:1:pos:R:3 pbc="T T T"
Pt 1.504 0.429 2.531
Pt -3.612 -2.245 4.315
Pt 0.431 2.005 5.765
Pt 3.876 -1.296 4.472
Pt 0.772 -0.729 6.026
Pt -0.703 -1.239 2.612
Pt 3.339 3.010 4.061
Pt -0.673 4.689 3.777
Pt -1.776 0.336 5.845
Pt 0.401 -3.923 4.599
Pt -4.149 2.061 3.904
Pt -1.044 1.495 2.351
Ge -2.914 -0.047 3.318
Ge 1.594 -1.932 3.637
Ge -1.263 -2.139 5.201
Ge 2.641 0.812 5.058
Ge -1.866 2.697 4.739
Ge 0.990 2.905 3.175
Y 0.000 0.000 0.000
```

## Properties
Its crystal system is trigonal. The value obtained for the density is 14.3 g/cm³. The calculated formation energy is -0.41 eV per atom.

=====

Record 3
Below is an optimized crystal structure of YGe3Pt, with properties calculated at the PBE level.

```
5
Lattice="5.264 0.000 0.000 0.000 5.264 0.000 0.000 0.000 5.264" Properties=species:S:1:pos:R:3 pbc="T T T"
Pt 2.632 2.632 2.632
Ge 2.632 0.000 0.000
Ge 0.000 0.000 2.632
Ge 0.000 2.632 0.000
Y 0.000 0.000 0.000
```

## Properties
Its crystal system is cubic. The value obtained for the density is 5.7 g/cm³. The calculated formation energy is 1.18 eV per atom.

=====

Record 4
Below is an optimized crystal structure of YGe3Pt5, with properties calculated at the PBE level.

```
18
Lattice="3.671 0.000 0.000 -1.835 6.423 0.000 0.000 0.000 14.004" Properties=species:S:1:pos:R:3 pbc="T T T"
Pt 1.835 3.980 5.573
Pt 1.835 0.021 4.863
Pt 1.835 3.980 1.428
Pt 0.000 0.000 7.002
Pt 0.000 6.402 11.865
Pt 1.835 0.021 2.138
Pt 0.000 0.000 0.000
Pt 0.000 2.443 12.575
Pt 0.000 2.443 8.430
Pt 0.000 6.402 9.140
Ge 0.000 4.622 13.674
Ge 1.835 1.801 0.330
Ge 1.835 5.345 3.501
Ge 0.000 1.078 10.503
Ge 0.000 4.622 7.332
Ge 1.835 1.801 6.672
Y 1.835 4.214 10.503
Y 0.000 2.209 3.501
```

## Properties
Its crystal system is orthorhombic. The value obtained for the density is 12.9 g/cm³. The calculated formation energy is -0.62 eV per atom.

=====

Record 5
Below is an optimized crystal structure of YGePt, with properties calculated at the PBE level.

```
24
Lattice="4.409 0.000 0.000 0.000 7.591 0.000 0.000 0.000 14.132" Properties=species:S:1:pos:R:3 pbc="T T T"
Y 0.000 1.590 3.509
Y 2.205 6.001 10.575
Y 0.000 2.223 7.066
Y 2.205 5.368 0.000
Y 2.205 6.001 3.557
Y 2.205 5.360 7.066
Y 0.000 1.590 10.623
Y 0.000 2.231 0.000
Ge 0.000 4.478 12.017
Ge 0.000 4.478 2.115
Ge 0.000 6.916 5.697
Ge 2.205 3.113 4.951
Ge 2.205 0.675 1.369
Ge 2.205 3.113 9.181
Ge 0.000 6.916 8.435
Ge 2.205 0.675 12.763
Pt 0.000 6.982 12.601
Pt 0.000 4.425 4.933
Pt 2.205 0.609 5.535
Pt 2.205 0.609 8.596
Pt 2.205 3.166 11.999
Pt 0.000 4.425 9.199
Pt 0.000 6.982 1.530
Pt 2.205 3.166 2.133
```

## Properties
Its crystal system is orthorhombic. The value obtained for the density is 10.0 g/cm³. The calculated formation energy is -1.15 eV per atom.

=====

Record 6
Below is an optimized crystal structure of YGePt6, with properties calculated at the PBE level.

```
8
Lattice="4.064 0.000 0.000 0.000 4.064 0.000 0.000 0.000 8.054" Properties=species:S:1:pos:R:3 pbc="T T T"
Pt 0.000 2.032 2.115
Pt 2.032 0.000 5.939
Pt 2.032 2.032 0.000
Pt 2.032 2.032 4.027
Pt 0.000 2.032 5.939
Pt 2.032 0.000 2.115
Y 0.000 0.000 0.000
Ge 0.000 0.000 4.027
```

## Properties
Its crystal system is tetragonal. Its distance to the lowest polymorph of the same formula is 0.000 eV/atom. The value obtained for the density is 16.6 g/cm³. The calculated formation energy is -0.62 eV per atom.

=====

Record 7
Below is an optimized crystal structure of YGe2Pt7, with properties calculated at the PBE level.

```
10
Lattice="4.448 0.000 0.000 0.000 7.208 -0.189 0.000 -3.350 6.385" Properties=species:S:1:pos:R:3 pbc="T T T"
Ge 2.224 -0.156 4.396
Ge 2.224 4.014 1.800
Pt 2.224 1.929 0.409
Pt 0.000 -0.982 4.911
Pt 2.224 -0.484 1.912
Pt 0.000 4.840 1.285
Pt 2.224 1.929 3.098
Pt 2.224 1.929 5.786
Pt 2.224 4.342 4.284
Y 0.000 0.000 0.000
```

## Properties
Its crystal system is orthorhombic. Its distance to the lowest polymorph of the same formula is 0.321 eV/atom. The value obtained for the density is 13.2 g/cm³. The calculated formation energy is -0.35 eV per atom.

=====

Record 8
Below is an optimized crystal structure of YGe2Pt7, with properties calculated at the PBE level.

```
10
Lattice="-3.470 1.608 -1.469 -0.711 -3.448 -2.096 -3.084 -2.901 9.821" Properties=species:S:1:pos:R:3 pbc="T T T"
Pt -4.322 -1.106 3.285
Pt -2.943 -3.634 2.971
Pt -2.090 -0.920 -1.783
Pt -4.461 -4.755 5.329
Pt -2.804 0.015 0.926
Pt -5.841 -2.227 5.643
Pt -1.425 -2.514 0.613
Ge -3.905 -2.259 1.035
Ge -3.361 -2.481 5.221
Y 0.000 0.000 0.000
```

## Properties
Its crystal system is tetragonal. Its distance to the lowest polymorph of the same formula is 0.000 eV/atom. The value obtained for the density is 15.4 g/cm³. The calculated formation energy is -0.67 eV per atom.

=====

Record 9
Below is an optimized crystal structure of YGePt, with properties calculated at the PBE level.

```
3
Lattice="-2.147 2.494 1.268 1.431 -0.856 4.105 2.065 3.038 -2.478" Properties=species:S:1:pos:R:3 pbc="T T T"
Ge 1.496 2.156 -0.072
Y 0.211 2.105 2.756
Pt -0.357 0.415 0.211
```

## Properties
Its crystal system is hexagonal. The value obtained for the density is 9.9 g/cm³. The calculated formation energy is -1.11 eV per atom.

=====

Record 10
Below is an optimized crystal structure of YGe2Pt, with properties calculated at the PBE level.

```
4
Lattice="1.694 -4.417 -0.492 -1.934 -3.577 2.467 -2.589 -3.305 -2.236" Properties=species:S:1:pos:R:3 pbc="T T T"
Ge -2.121 -8.474 -0.195
Ge -0.707 -2.825 -0.065
Y 0.000 0.000 0.000
Pt -1.414 -5.649 -0.130
```

## Properties
Its crystal system is cubic. The value obtained for the density is 9.4 g/cm³. The calculated formation energy is -0.44 eV per atom.

=====

Record 11
Below is an optimized crystal structure of Y3Ge4Pt2, with properties calculated at the PBE level.

```
9
Lattice="4.319 0.000 0.000 -2.160 5.271 -1.316 0.000 0.038 8.307" Properties=species:S:1:pos:R:3 pbc="T T T"
Y 2.160 1.757 5.070
Y 0.000 3.552 1.921
Y 0.000 0.000 0.000
Ge 0.000 0.645 3.077
Ge 0.000 2.843 7.007
Ge 2.160 2.466 -0.017
Ge 2.160 4.664 3.913
Pt 2.160 1.107 2.011
Pt 0.000 4.202 4.980
```

## Properties
Its crystal system is monoclinic. The value obtained for the density is 8.3 g/cm³. The calculated formation energy is -0.96 eV per atom.

=====

Record 12
Below is an optimized crystal structure of Y4GePt3, with properties calculated at the PBE level.

```
8
Lattice="3.901 0.000 0.000 0.000 4.346 0.000 0.000 0.000 10.736" Properties=species:S:1:pos:R:3 pbc="T T T"
Y 1.950 2.173 3.903
Y 0.000 0.000 1.496
Y 0.000 2.173 9.211
Y 1.950 0.000 6.891
Pt 1.950 0.000 9.854
Pt 0.000 2.173 6.289
Pt 0.000 0.000 4.417
Ge 1.950 2.173 0.885
```

## Properties
Its crystal system is orthorhombic. The value obtained for the density is 9.2 g/cm³. The calculated formation energy is -1.16 eV per atom.

=====

- What is the formula in the tenth record?
  YGe2Pt